[1]
Material: LaScSnPd
Method: DFT, GGA-PBE
State: relaxed

a b c (Å): 5.1770 5.1770 5.1770
angles (deg): 60.00 60.00 60.00
Closest atoms and distances in Å follow each position.
Sites, in units of the cell vectors:
La1 0.0000 0.0000 0.0000  4 Pd 3.17, 4 Sn 3.17
Pd1 0.7500 0.7500 0.7500  4 La 3.17, 4 Sc 3.17
Sc1 0.5000 0.5000 0.5000  4 Sn 3.17, 4 Pd 3.17
Sn1 0.2500 0.2500 0.2500  4 La 3.17, 4 Sc 3.17

Values from the calculation:
- symmetry = No. 216
- calculated formation energy (meV per atom) = -645.1


[2]
Material: Lu3Te
Method: DFT, GGA-PBE
State: relaxed

a b c (Å): 3.6968 5.8040 6.2068
angles (deg): 117.88 107.33 90.00
Closest atoms and distances in Å follow each position.
Sites, in units of the cell vectors:
Lu1 0.5000 0.4549 0.0000  2 Te 3.11, 6 Lu 3.25-3.44
Lu2 0.2737 0.6173 0.5474  3 Te 3.16-3.38, 7 Lu 3.25-3.48
Lu3 0.7263 0.0699 0.4526  3 Te 3.16-3.38, 7 Lu 3.25-3.48
Te1 0.0000 0.0245 0.0000  8 Lu 3.11-3.38

Values from the calculation:
- symmetry = No. 44
- energy relative to the elements, uncorrected (kJ per mole of atoms) = -45.66


no.,DOS at the Fermi energy (states/eV per cell),calculated volume (Å³/cell),magnetic moment (μB per formula unit)
1,2.9,98.1,0.04
2,4.8,110.8,0.00